Density functional theory data (PBE with a Hubbard U) for MgFeO3 after structural relaxation.

a = 5.4139 Å, b = 5.9237 Å, c = 5.4641 Å
α = 107.53°, β = 90.00°, γ = 117.19°
Last column: magnetic moment on the atom in μB.
Fractional coordinates of all 10 atoms:
Mg 0.1542 0.3084 0.9457  0.01
Mg 0.8458 0.6916 0.0543  0.01
Fe 0.7855 0.5710 0.5330  4.02
Fe 0.2145 0.4290 0.4670  4.02
O 0.0269 0.5604 0.2777  0.05
O 0.9547 0.9094 0.7887  -0.18
O 0.5335 0.5604 0.2777  0.05
O 0.4665 0.4396 0.7223  0.05
O 0.9731 0.4396 0.7223  0.05
O 0.0453 0.0906 0.2113  -0.18

Summary:
Electronic total energy in eV per cell: -59.3
Calculated volume in A^3/atom: 14.7